Computed, not measured: a crystal of CaS3F relaxed with PBEsol at the meta-GGA SCAN level of DFT.

DOS(E_F) ... 2.45 states/eV/f.u.
Uncorrected energy ... -8.25 eV per atom

abc: 5.3685 5.3685 5.3685
angles: 90.00 90.00 90.00
Site moments in Bohr magnetons follow the coordinates.
Positions (direct):
S: 0.0000 0.5000 0.0000  0.93
Ca: 0.0000 0.0000 0.0000  -0.03
S: 0.5000 0.0000 0.0000  0.93
F: 0.5000 0.5000 0.5000  0.46
S: 0.0000 0.0000 0.5000  0.93

Computed, not measured: a crystal of RuPt2Rh relaxed with PBEsol at the meta-GGA SCAN level of DFT.

DOS(E_F) ... 3.83 states/eV/f.u.
ΔH_f (0 K) ... -0.011 eV/atom

abc: 2.7094 2.7094 9.0600
angles: 81.40 81.40 60.00
Positions (direct):
Rh: 0.5036 0.5036 0.4893
Pt: 0.9971 0.9971 0.0087
Pt: 0.7518 0.7518 0.7445
Ru: 0.2475 0.2475 0.2575